VASP calculation (GGA-PBEsol) on Tl2AgHg after structural relaxation.

It has space group Imm2 (No. 44), with a = 3.276 Å, b = 5.344 Å, c = 10.869 Å, α = 90.00°, β = 90.00° and γ = 90.00°. The asymmetric unit holds Tl at (0.000, 0.000, 0.000), Tl at (0.000, 0.500, 0.218), Ag at (0.000, 0.500, 0.731) and Hg at (0.000, 0.000, 0.447).

As for the energy above the most stable polymorph in this dataset: 0 kJ/mol of formula units. For the energy of formation from the pure elements, the calculation gives 0.067 eV per atom.

VASP calculation (GGA-PBEsol) on YBiCl2 after structural relaxation.

It has space group I-42d (No. 122), with a = 4.626 Å, b = 4.626 Å, c = 19.094 Å, α = 90.00°, β = 90.00° and γ = 90.00°. The asymmetric unit holds Y at (0.000, 0.000, 0.000), Bi at (0.000, 0.000, 0.500) and Cl at (0.223, 0.250, 0.125).

The value obtained for the raw formation energy is -1.148 eV per atom.

VASP calculation (GGA-PBEsol) on MoOs2Rh after structural relaxation.

It has space group P4/mmm (No. 123), with a = 3.835 Å, b = 3.835 Å, c = 3.828 Å, α = 90.00°, β = 90.00° and γ = 90.00°. The asymmetric unit holds Mo at (0.000, 0.000, 0.000), Os at (0.000, 0.500, 0.500) and Rh at (0.500, 0.500, 0.000).

As for the energy above the most stable polymorph in this dataset: 0 kJ/mol of formula units. For the energy of formation from the pure elements, the calculation gives -0.065 eV per atom.

VASP calculation (GGA-PBEsol) on MnCrIn2 after structural relaxation.

It has space group Pmm2 (No. 25), with a = 3.021 Å, b = 4.708 Å, c = 4.777 Å, α = 90.00°, β = 90.00° and γ = 90.00°. The asymmetric unit holds Mn at (0.000, 0.000, 0.000), Cr at (0.000, 0.500, 0.582), In at (0.500, 0.000, 0.509) and In at (0.500, 0.500, 0.074).

As for the energy above the most stable polymorph in this dataset: 9 kJ/mol of formula units. For the energy of formation from the pure elements, the calculation gives 0.385 eV per atom.

VASP calculation (GGA-PBEsol) on ZrAlCu after structural relaxation.

It has space group Cmcm (No. 63), with a = 3.721 Å, b = 9.987 Å, c = 5.290 Å, α = 90.00°, β = 90.00° and γ = 90.00°. The asymmetric unit holds Zr at (0.000, 0.203, 0.250), Al at (0.000, 0.086, 0.750) and Cu at (0.000, 0.500, 0.000).

For the energy of formation from the pure elements, the calculation gives -0.331 eV per atom.

VASP calculation (GGA-PBEsol) on NdSnRh after structural relaxation.

It has space group P-62m (No. 189), with a = 7.3877 Å, b = 7.3877 Å, c = 4.0948 Å, α = 90.00°, β = 90.00° and γ = 120.00°. The asymmetric unit holds Nd at (0.0000, 0.5863, 0.0000), Sn at (0.0000, 0.2504, 0.5000), Rh at (0.0000, 0.0000, 0.0000) and Rh at (0.3333, 0.6667, 0.5000).

For the energy of formation from the pure elements, the calculation gives -0.863 eV per atom.

VASP calculation (GGA-PBEsol) on CaAg2BiRu after structural relaxation.

It has space group P4/mmm (No. 123), with a = 5.060 Å, b = 5.060 Å, c = 4.806 Å, α = 90.00°, β = 90.00° and γ = 90.00°. The asymmetric unit holds Ca at (0.000, 0.000, 0.000), Ag at (0.000, 0.500, 0.500), Bi at (0.500, 0.500, 0.000) and Ru at (0.000, 0.000, 0.500).

For the energy of formation from the pure elements, the calculation gives 0.776 eV per atom.

VASP calculation (GGA-PBEsol) on Li6Mn5O10 after structural relaxation.

It has space group Cm (No. 8), with a = 5.643 Å, b = 14.374 Å, c = 5.096 Å, α = 90.00°, β = 92.83° and γ = 90.00°. The asymmetric unit holds Li at (0.000, 0.091, 0.000), Li at (0.095, 0.400, 0.821), Li at (0.158, 0.217, 0.802), Mn at (0.331, 0.297, 0.380), Mn at (0.338, 0.500, 0.433), Mn at (0.347, 0.099, 0.371), O at (0.175, 0.000, 0.191), O at (0.183, 0.195, 0.174), O at (0.199, 0.395, 0.176), O at (0.434, 0.383, 0.644), O at (0.445, 0.197, 0.608) and O at (0.481, 0.000, 0.592).

The value obtained for the raw formation energy is -1.707 eV per atom.

Repeat the eighth record exactly.
VASP calculation (GGA-PBEsol) on Li6Mn5O10 after structural relaxation.

It has space group Cm (No. 8), with a = 5.643 Å, b = 14.374 Å, c = 5.096 Å, α = 90.00°, β = 92.83° and γ = 90.00°. The asymmetric unit holds Li at (0.000, 0.091, 0.000), Li at (0.095, 0.400, 0.821), Li at (0.158, 0.217, 0.802), Mn at (0.331, 0.297, 0.380), Mn at (0.338, 0.500, 0.433), Mn at (0.347, 0.099, 0.371), O at (0.175, 0.000, 0.191), O at (0.183, 0.195, 0.174), O at (0.199, 0.395, 0.176), O at (0.434, 0.383, 0.644), O at (0.445, 0.197, 0.608) and O at (0.481, 0.000, 0.592).

The value obtained for the raw formation energy is -1.707 eV per atom.